[1]
VASP calculation (PBE) on a relaxed structure of YGaNF2.

Cell lengths 4.206, 4.206, 3.693 Å; angles 90.00, 90.00, 90.00 degrees
Space group P4/mmm (No. 123)
One atom of each set of equivalent atoms:
Y 0.000 0.000 0.000 x1
Ga 0.500 0.500 0.500 x1
N 0.500 0.500 0.000 x1
F 0.000 0.500 0.500 x2

Results
As for the uncorrected formation energy: -1.54 eV/atom.

[2]
VASP calculation (PBE) on a relaxed structure of YGaNF2.

Cell lengths 4.374, 4.374, 4.686 Å; angles 90.00, 90.00, 90.00 degrees
Space group P4/mmm (No. 123)
One atom of each set of equivalent atoms:
Y 0.000 0.000 0.000 x1
Ga 0.500 0.500 0.500 x1
N 0.000 0.000 0.500 x1
F 0.000 0.500 0.000 x2

Results
As for the uncorrected formation energy: -1.73 eV/atom.

[3]
VASP calculation (PBE) on a relaxed structure of ZnGaN2F.

Cell lengths 3.911, 3.911, 3.908 Å; angles 90.00, 90.00, 90.00 degrees
Space group P4/mmm (No. 123)
One atom of each set of equivalent atoms:
Zn 0.000 0.000 0.000 x1
Ga 0.500 0.500 0.500 x1
N 0.000 0.500 0.500 x2
F 0.500 0.500 0.000 x1

Results
As for the uncorrected formation energy: 0.42 eV/atom.